# 1
This record from the Alexandria database describes a relaxed SrCa2Er crystal. The functional is PBE.

Calculated values
Total magnetization, μB/f.u.: 0.91
Volume, Å³ per atom: 40.91
Final energy, eV per atom: -2.433

Cell: 12.9376 12.9376 12.9376 Å, 17.12 17.12 17.12°
With the nearest neighbours (Å) after each atom.
Fractional positions:
Sr1 0.0000 0.0000 0.0000  6 Sr 3.85, 6 Ca 4.07
Ca1 0.2443 0.2443 0.2443  3 Er 3.71, 6 Ca 3.85, 3 Sr 4.07
Ca2 0.7557 0.7557 0.7557  3 Er 3.71, 6 Ca 3.85, 3 Sr 4.07
Er1 0.5000 0.5000 0.5000  6 Ca 3.71, 6 Er 3.85



# 2
This record from the Alexandria database describes a relaxed Re2PtBr crystal. The functional is PBE.

Calculated values
Total magnetization, μB/f.u.: 0.00
Volume, Å³ per atom: 21.69
Final energy, eV per atom: -7.450

Cell: 4.8198 4.8198 7.6779 Å, 121.20 121.20 35.43°
With the nearest neighbours (Å) after each atom.
Fractional positions:
Re1 0.2185 0.2185 0.3513  2 Re 2.50, 3 Pt 2.63-2.80, 2 Br 2.75
Re2 0.7815 0.7815 0.6487  2 Re 2.50, 3 Pt 2.63-2.80, 2 Br 2.75
Pt1 0.0000 0.0000 0.5000  6 Re 2.63-2.80, 2 Pt 2.93
Br1 0.5000 0.5000 0.0000  4 Re 2.75, 2 Br 2.93



# 3
This record from the Alexandria database describes a relaxed RbCd3Pd crystal. The functional is PBE.

Calculated values
Total magnetization, μB/f.u.: 0.00
Volume, Å³ per atom: 27.59
Final energy, eV per atom: -1.956

Cell: 7.6498 7.6498 5.6417 Å, 90.38 90.38 56.71°
With the nearest neighbours (Å) after each atom.
Fractional positions:
Rb1 0.1460 0.1460 0.4984  11 Cd 3.63-3.81, 1 Pd 3.79, 1 Rb 3.93
Rb2 0.8540 0.8540 0.5016  11 Cd 3.63-3.81, 1 Pd 3.79, 1 Rb 3.93
Cd1 0.0000 0.5000 0.0000  2 Pd 2.75
Cd2 0.1983 0.8017 0.0000  2 Pd 2.80, 1 Cd 2.88
Cd3 0.4103 0.4103 0.3482  3 Pd 2.81-2.92, 1 Cd 2.95
Cd4 0.5000 0.0000 0.0000  2 Pd 2.75
Cd5 0.5897 0.5897 0.6518  3 Pd 2.81-2.92, 1 Cd 2.95
Cd6 0.8017 0.1983 0.0000  2 Pd 2.80, 1 Cd 2.88
Pd1 0.3885 0.3885 0.8431  7 Cd 2.75-2.92
Pd2 0.6115 0.6115 0.1569  7 Cd 2.75-2.92



# 4
This record from the Alexandria database describes a relaxed Y2Co2Si crystal. The functional is PBE.

Calculated values
Total magnetization, μB/f.u.: 2.55
Volume, Å³ per atom: 19.28
Final energy, eV per atom: -6.649

Cell: 8.8857 8.8857 8.8857 Å, 158.23 158.23 30.97°
With the nearest neighbours (Å) after each atom.
Fractional positions:
Y1 0.1104 0.1104 0.0000  4 Co 2.92, 4 Si 3.03
Y2 0.8896 0.8896 0.0000  4 Co 2.92, 4 Si 3.03
Co1 0.2500 0.7500 0.5000  4 Co 2.37
Co2 0.7500 0.2500 0.5000  4 Co 2.37
Si1 0.5000 0.5000 0.0000  8 Y 3.03, 4 Si 3.36



# 5
This record from the Alexandria database describes a relaxed MgZn2In crystal. The functional is PBE.

Calculated values
Total magnetization, μB/f.u.: 0.00
Volume, Å³ per atom: 19.64
Final energy, eV per atom: -1.694

Cell: 3.1149 3.1149 8.0969 Å, 90.00 90.00 90.10°
With the nearest neighbours (Å) after each atom.
Fractional positions:
Mg1 0.0000 0.0000 0.0000  8 Zn 2.90-2.91, 4 Mg 3.11
Zn1 0.5000 0.5000 0.2337  4 Mg 2.90-2.91, 4 In 3.08, 4 Zn 3.11
Zn2 0.5000 0.5000 0.7663  4 Mg 2.90-2.91, 4 In 3.08, 4 Zn 3.11
In1 0.0000 0.0000 0.5000  8 Zn 3.08, 4 In 3.11



# 6
This record from the Alexandria database describes a relaxed NdPu2Fe crystal. The functional is PBE.

Calculated values
Total magnetization, μB/f.u.: 0.02
Volume, Å³ per atom: 22.09
Final energy, eV per atom: -9.932

Cell: 6.0729 6.0729 6.0729 Å, 41.36 41.36 41.36°
With the nearest neighbours (Å) after each atom.
Fractional positions:
Nd1 0.0000 0.0000 0.0000  2 Pu 2.96
Pu1 0.1780 0.1780 0.1780  3 Fe 2.48, 3 Pu 2.50
Pu2 0.8220 0.8220 0.8220  3 Fe 2.48, 3 Pu 2.50
Fe1 0.5000 0.5000 0.5000  6 Pu 2.48



# 7
This record from the Alexandria database describes a relaxed AlTlCd crystal. The functional is PBE.

Calculated values
Total magnetization, μB/f.u.: 0.00
Volume, Å³ per atom: 24.23
Final energy, eV per atom: -2.132

Cell: 6.0748 6.0748 6.0748 Å, 149.77 139.67 51.22°
With the nearest neighbours (Å) after each atom.
Fractional positions:
Al1 0.0000 0.0000 0.0000  4 Cd 2.98, 2 Al 3.17, 4 Tl 3.29
Tl1 0.3197 0.3197 0.0000  2 Tl 3.17, 5 Al 3.29-3.50, 5 Cd 3.36-3.39
Cd1 0.6291 0.6291 0.0000  4 Al 2.98, 2 Cd 3.17



# 8
This record from the Alexandria database describes a relaxed LaCd4Rh crystal. The functional is PBE.

Calculated values
Total magnetization, μB/f.u.: 0.00
Volume, Å³ per atom: 23.37
Final energy, eV per atom: -3.020

Cell: 8.7415 4.4494 7.2097 Å, 90.00 90.00 90.00°
With the nearest neighbours (Å) after each atom.
Fractional positions:
La1 0.2500 0.0000 0.0790  1 Rh 2.50
La2 0.7500 0.0000 0.9210  1 Rh 2.50
Cd1 0.0000 0.0000 0.5000  2 Rh 2.76
Cd2 0.0448 0.5000 0.7995  2 Rh 2.90, 5 Cd 2.99-3.16
Cd3 0.2500 0.5000 0.4554  2 Rh 2.99, 8 Cd 3.06-3.16
Cd4 0.4552 0.5000 0.7995  2 Rh 2.90, 5 Cd 2.99-3.16
Cd5 0.5000 0.0000 0.5000  2 Rh 2.76
Cd6 0.5448 0.5000 0.2005  2 Rh 2.90, 5 Cd 2.99-3.16
Cd7 0.7500 0.5000 0.5446  2 Rh 2.99, 8 Cd 3.06-3.16
Cd8 0.9552 0.5000 0.2005  2 Rh 2.90, 5 Cd 2.99-3.16
Rh1 0.2500 0.0000 0.7327  1 La 2.50, 2 Cd 2.76
Rh2 0.7500 0.0000 0.2673  1 La 2.50, 2 Cd 2.76



# 9
This record from the Alexandria database describes a relaxed SrFe2SiSe crystal. The functional is PBE.

Calculated values
Total magnetization, μB/f.u.: 5.00
Volume, Å³ per atom: 26.37
Final energy, eV per atom: -3.465

Cell: 4.8831 4.8831 5.5303 Å, 90.00 90.00 90.00°
With the nearest neighbours (Å) after each atom.
Fractional positions:
Sr1 0.0000 0.0000 0.0000  4 Fe 2.44
Fe1 0.0000 0.5000 0.0000  2 Sr 2.44
Fe2 0.5000 0.0000 0.0000  2 Sr 2.44
Si1 0.0000 0.0000 0.5000  2 Sr 2.77
Se1 0.5000 0.5000 0.5000  4 Si 3.45, 8 Fe 3.69



# 10
This record from the Alexandria database describes a relaxed BaCr2Mo crystal. The functional is PBE.

Calculated values
Total magnetization, μB/f.u.: 0.00
Volume, Å³ per atom: 21.57
Final energy, eV per atom: -7.201

Cell: 3.0485 3.9903 7.2221 Å, 90.00 100.92 90.00°
With the nearest neighbours (Å) after each atom.
Fractional positions:
Ba1 0.0000 0.0000 0.0000  2 Ba 3.05
Cr1 0.1825 0.5000 0.6318  1 Cr 2.01
Cr2 0.8175 0.5000 0.3682  1 Cr 2.01
Mo1 0.5000 0.0000 0.5000  4 Cr 2.48



# 11
This record from the Alexandria database describes a relaxed Rb3SrBr crystal. The functional is PBE.

Calculated values
Total magnetization, μB/f.u.: 1.94
Volume, Å³ per atom: 111.79
Final energy, eV per atom: -1.183

Cell: 8.2373 8.2373 8.2373 Å, 90.00 90.00 90.00°
With the nearest neighbours (Å) after each atom.
Fractional positions:
Rb1 0.0000 0.0000 0.5000  2 Sr 4.12
Rb2 0.0000 0.5000 0.0000  2 Sr 4.12
Rb3 0.5000 0.0000 0.0000  2 Sr 4.12
Sr1 0.0000 0.0000 0.0000  6 Rb 4.12
Br1 0.5000 0.5000 0.5000  12 Rb 5.82



# 12
This record from the Alexandria database describes a relaxed SbAu crystal. The functional is PBE.

Calculated values
Total magnetization, μB/f.u.: 0.00
Volume, Å³ per atom: 23.98
Final energy, eV per atom: -3.734

Cell: 6.5401 6.5401 6.5401 Å, 144.04 144.04 51.76°
With the nearest neighbours (Å) after each atom.
Fractional positions:
Sb1 0.1274 0.1274 0.0000  5 Au 2.86-2.94, 1 Sb 3.00
Sb2 0.8726 0.8726 0.0000  5 Au 2.86-2.94, 1 Sb 3.00
Au1 0.3773 0.3773 0.0000  5 Sb 2.86-2.94, 1 Au 2.89
Au2 0.6227 0.6227 0.0000  5 Sb 2.86-2.94, 1 Au 2.89



Q: The highest total magnetization belongs to which entry?
A: SrFe2SiSe